Entry a
A plane-wave DFT calculation with PBE was carried out for LiScSbAu after structural relaxation.

Results
Space-group type: No. 216
Magnetization in Bohr magnetons per cell: 0.0

Cell lengths 4.8192, 4.8192, 4.8192 Å; angles 60.00, 60.00, 60.00 degrees
Last column: nearest neighbours and their distance in Å.
Fractional positions:
Li: 0.0000 0.0000 0.0000  4 Sc 2.95, 4 Au 2.95
Sc: 0.2500 0.2500 0.2500  4 Sb 2.95, 4 Li 2.95
Sb: 0.5000 0.5000 0.5000  4 Sc 2.95, 4 Au 2.95
Au: 0.7500 0.7500 0.7500  4 Li 2.95, 4 Sb 2.95

***

Entry b
A plane-wave DFT calculation with PBE was carried out for LiScSbAu after structural relaxation.

Results
Space-group type: No. 216
Magnetization in Bohr magnetons per cell: 0.0

Cell lengths 4.8287, 4.8287, 4.8287 Å; angles 60.00, 60.00, 60.00 degrees
Last column: nearest neighbours and their distance in Å.
Fractional positions:
Li: 0.0000 0.0000 0.0000  4 Sb 2.96, 4 Au 2.96
Sc: 0.5000 0.5000 0.5000  4 Au 2.96, 4 Sb 2.96
Sb: 0.2500 0.2500 0.2500  4 Li 2.96, 4 Sc 2.96
Au: 0.7500 0.7500 0.7500  4 Sc 2.96, 4 Li 2.96

***

Entry c
A plane-wave DFT calculation with PBE was carried out for LiScSbAu after structural relaxation.

Results
Space-group type: No. 216
Magnetization in Bohr magnetons per cell: 0.0

Cell lengths 4.8307, 4.8307, 4.8307 Å; angles 60.00, 60.00, 60.00 degrees
Last column: nearest neighbours and their distance in Å.
Fractional positions:
Li: 0.0000 0.0000 0.0000  4 Sb 2.96, 4 Sc 2.96
Sc: 0.7500 0.7500 0.7500  4 Li 2.96, 4 Au 2.96
Sb: 0.2500 0.2500 0.2500  4 Li 2.96, 4 Au 2.96
Au: 0.5000 0.5000 0.5000  4 Sb 2.96, 4 Sc 2.96

***

Pick the most stable structure from those above. Pick: entry b